NpMnIrO6: relaxed, PBE+U. Values from VASP.

The structure in Quantum ESPRESSO input format:
```
&SYSTEM
  ibrav = 0, nat = 18, ntyp = 4
/
ATOMIC_SPECIES
O 16.00 O.upf
Np 237.00 Np.upf
Ir 192.22 Ir.upf
Mn 54.94 Mn.upf
ATOMIC_POSITIONS angstrom
O -0.833 4.446 1.271
O 0.846 1.539 3.572
O 1.743 2.944 6.114
Np 2.588 1.494 2.422
Np 0.000 2.989 7.265
Ir 0.000 2.989 2.422
O 0.910 1.502 8.415
O 3.421 0.037 8.415
Mn 0.000 0.000 0.000
Mn 0.000 0.000 4.843
O 3.434 2.944 8.415
O 0.832 4.446 3.572
O 1.678 2.981 1.271
O -0.846 1.539 1.271
O 1.756 0.037 6.114
O -1.678 2.981 3.572
O 4.266 1.502 6.114
Ir 2.588 1.494 7.265
CELL_PARAMETERS angstrom
5.177 0.000 0.000
-2.588 4.483 0.000
0.000 0.000 9.686
```

Values from the calculation:
total DFT energy (no corrections) = -8.4127 eV per atom
total magnetization = 10.0 μB per cell
space group = P-31c
calculated volume = 12.49 Å³ per atom